A plane-wave DFT calculation with PBE was carried out for a relaxed ZnMo2Rh crystal.

Output
calculated formation energy: 72 meV per atom
spin magnetization: 0.00 μB/f.u.
N(E_F): 3.66 states/eV/f.u.
symmetry: F-43m (216)

Lattice parameters (Å, degrees): 6.222 6.222 6.222 90.00 90.00 90.00
Atoms (fractional coordinates):
1 Zn 0.000 0.000 0.000
2 Zn 0.000 0.500 0.500
3 Zn 0.500 0.000 0.500
4 Zn 0.500 0.500 0.000
5 Mo 0.000 0.000 0.500
6 Mo 0.000 0.500 0.000
7 Mo 0.250 0.250 0.250
8 Mo 0.250 0.750 0.750
9 Mo 0.500 0.000 0.000
10 Mo 0.500 0.500 0.500
11 Mo 0.750 0.250 0.750
12 Mo 0.750 0.750 0.250
13 Rh 0.250 0.250 0.750
14 Rh 0.250 0.750 0.250
15 Rh 0.750 0.250 0.250
16 Rh 0.750 0.750 0.750